Entry 1:
First-principles (GGA-PBE) data for a relaxed structure of CuSe2Cl2, as listed in Alexandria.

Output
Space group: P4/mbm

abc: 6.5583 6.5583 5.0964
angles: 90.00 90.00 90.00
Last column: nearest neighbours and their distance in Å.
Element x y z (fractional)
Cu: 0.0000 0.0000 0.0000  4 Se 2.49
Cu: 0.5000 0.5000 0.0000  4 Se 2.49
Se: 0.3485 0.8485 0.0000  2 Cu 2.49, 2 Cl 2.56
Se: 0.8485 0.6515 0.0000  2 Cu 2.49, 2 Cl 2.56
Se: 0.6515 0.1515 0.0000  2 Cu 2.49, 2 Cl 2.56
Se: 0.1515 0.3485 0.0000  2 Cu 2.49, 2 Cl 2.56
Cl: 0.3281 0.8281 0.5000  2 Se 2.56
Cl: 0.8281 0.6719 0.5000  2 Se 2.56
Cl: 0.6719 0.1719 0.5000  2 Se 2.56
Cl: 0.1719 0.3281 0.5000  2 Se 2.56


Entry 2:
First-principles (GGA-PBE) data for a relaxed structure of CuSeCl, as listed in Alexandria.

Output
Space group: P1

abc: 6.2486 7.3166 4.2922
angles: 73.15 78.03 57.66
Last column: nearest neighbours and their distance in Å.
Element x y z (fractional)
Cu: 0.3766 0.0788 0.3636  2 Cl 2.27-2.30, 2 Se 2.38-2.50
Cu: 0.0858 0.8219 0.4337  2 Cl 2.18
Cl: 0.7711 0.0044 0.1166  2 Cu 2.18-2.30
Cl: 0.3929 0.7650 0.6853  2 Cu 2.18-2.27
Se: 0.0062 0.3806 0.1029  1 Se 2.34, 1 Cu 2.38
Se: 0.1855 0.4251 0.5700  1 Se 2.34, 2 Cu 2.50-2.53


Energy relative to the elements, uncorrected: -0.03 -0.80 (eV per formula unit)